This record from the Alexandria database describes a geometry-optimized Cs7H2Au2 structure. The functional is GGA-PBE.

Properties
The electronic total energy comes out at -1.88 eV per atom. As for the energy relative to the lowest polymorph listed for this composition: 4 meV/atom.

Lattice parameters (Å, degrees): 12.9595 12.9595 12.9595 159.38 61.13 123.15
Closest atoms and distances in Å follow each position.
Fractional positions:
Cs 0.0000 0.0000 0.0000  2 H 2.98
Cs 0.2244 0.5390 0.6853  2 H 3.12
Cs 0.2804 0.3762 0.9042  3 Au 3.71-3.77
Cs 0.4719 0.3762 0.0958  3 Au 3.71-3.77
Cs 0.6175 0.2317 0.3858  2 H 3.21
Cs 0.8459 0.2317 0.6142  2 H 3.21
Cs 0.8537 0.5390 0.3147  2 H 3.12
H 0.0351 0.9111 0.1239  5 Cs 2.98-3.21
H 0.7872 0.9111 0.8761  5 Cs 2.98-3.21
Au 0.2171 0.7171 0.5000  6 Cs 3.54-3.71
Au 0.6278 0.6278 0.0000  6 Cs 3.68-3.77